Below is crystalline In2BiN at its relaxed geometry, with properties calculated at the PBE level.

Geometry as CIF:
```
data_In2BiN
_symmetry_space_group_name_H-M 'F m -3 m'
_symmetry_Int_Tables_number 225
_symmetry_space_group_name_Hall '-F 4 2 3'
_cell_length_a 7.256
_cell_length_b 7.256
_cell_length_c 7.256
_cell_angle_alpha 90.00
_cell_angle_beta 90.00
_cell_angle_gamma 90.00
loop_
_atom_site_label
_atom_site_type_symbol
_atom_site_fract_x
_atom_site_fract_y
_atom_site_fract_z
In1 In 0.250 0.250 0.250
Bi1 Bi 0.000 0.000 0.000
N1 N 0.000 0.000 0.500
```

DOS at the Fermi energy ... 0.579 states/eV per atom
Energy above the most stable polymorph in this dataset ... 805 meV/atom
E_form (uncorrected) ... 1.04 eV/atom